DFT (GGA-PBE) results for a relaxed structure of PuCoBP.

a b c (Å): 3.7816 3.7816 7.9720
angles (deg): 90.00 90.00 90.00
Space group P4/nmm (No. 129, origin choice 2)
Unique sites:
1 Pu 0.2500 0.2500 0.2052 (multiplicity 2)
2 Co 0.2500 0.7500 0.5000 (multiplicity 2)
3 B 0.2500 0.2500 0.6083 (multiplicity 2)
4 P 0.2500 0.2500 0.8584 (multiplicity 2)

Crystal system: tetragonal
Formation enthalpy at 0 K, kJ per mole of atoms: -57.51

---

DFT (GGA-PBE) results for a relaxed structure of CoBP2S.

a b c (Å): 3.9520 3.9520 4.1631
angles (deg): 90.00 90.00 90.00
Space group P4/mmm (No. 123)
Unique sites:
1 Co 0.0000 0.0000 0.0000 (multiplicity 1)
2 B 0.5000 0.5000 0.5000 (multiplicity 1)
3 P 0.0000 0.5000 0.5000 (multiplicity 2)
4 S 0.5000 0.5000 0.0000 (multiplicity 1)

Crystal system: tetragonal
Formation energy from raw total energies, eV/atom: 0.95

---

DFT (GGA-PBE) results for a relaxed structure of CoBPS2.

a b c (Å): 4.1198 4.1198 3.9140
angles (deg): 90.00 90.00 90.00
Space group P4/mmm (No. 123)
Unique sites:
1 Co 0.0000 0.0000 0.0000 (multiplicity 1)
2 B 0.5000 0.5000 0.5000 (multiplicity 1)
3 P 0.5000 0.5000 0.0000 (multiplicity 1)
4 S 0.0000 0.5000 0.5000 (multiplicity 2)

Crystal system: tetragonal
Formation energy from raw total energies, eV/atom: 0.97

---

Taking the records one at a time from the top gives uncorrected energy values of -35.9; -24.0; -22.6 eV per formula unit.
Taking the records one at a time from the top gives N(E_F) values of 14.067; 2.216; 3.027 states/eV/cell.